[1]
# ScHg2Pb | the Alexandria database | GGA-PBEsol | optimized geometry
# Energy relative to the elements = -0.22 eV per atom
# Total DFT energy (no corrections) = -3.16 eV/atom
data_ScHg2Pb
_space_group_name_H-M_alt 'C 1 m 1'
_space_group_IT_number 8
_space_group_name_Hall 'C -2y'
_cell_length_a 11.365
_cell_length_b 3.395
_cell_length_c 5.289
_cell_angle_alpha 90.00
_cell_angle_beta 114.56
_cell_angle_gamma 90.00
loop_
_atom_site_label
_atom_site_fract_x
_atom_site_fract_y
_atom_site_fract_z
Sc1 0.000 0.000 0.000
Hg1 0.022 0.500 0.491
Hg2 0.279 0.000 0.612
Pb1 0.248 0.500 0.091



[2]
# Sc2HgPb | the Alexandria database | GGA-PBEsol | optimized geometry
# Energy relative to the elements = -0.46 eV per atom
# Total DFT energy (no corrections) = -4.90 eV/atom
data_Sc2HgPb
_space_group_name_H-M_alt 'P 4/m m m'
_space_group_IT_number 123
_space_group_name_Hall '-P 4 2'
_cell_length_a 4.621
_cell_length_b 4.621
_cell_length_c 4.088
_cell_angle_alpha 90.00
_cell_angle_beta 90.00
_cell_angle_gamma 90.00
loop_
_atom_site_label
_atom_site_fract_x
_atom_site_fract_y
_atom_site_fract_z
Sc1 0.000 0.500 0.000
Hg1 0.000 0.000 0.500
Pb1 0.500 0.500 0.500



[3]
# ScHg2Pb | the Alexandria database | GGA-PBEsol | optimized geometry
# Energy relative to the elements = -0.31 eV per atom
# Total DFT energy (no corrections) = -3.24 eV/atom
data_ScHg2Pb
_space_group_name_H-M_alt 'P 4/m m m'
_space_group_IT_number 123
_space_group_name_Hall '-P 4 2'
_cell_length_a 4.348
_cell_length_b 4.348
_cell_length_c 4.695
_cell_angle_alpha 90.00
_cell_angle_beta 90.00
_cell_angle_gamma 90.00
loop_
_atom_site_label
_atom_site_fract_x
_atom_site_fract_y
_atom_site_fract_z
Sc1 0.000 0.000 0.000
Hg1 0.000 0.500 0.500
Pb1 0.500 0.500 0.000



[4]
# ScHg2Pb | the Alexandria database | GGA-PBEsol | optimized geometry
# Energy relative to the elements = -0.22 eV per atom
# Total DFT energy (no corrections) = -3.15 eV/atom
data_ScHg2Pb
_space_group_name_H-M_alt 'I -4 m 2'
_space_group_IT_number 119
_space_group_name_Hall 'I -4 -2'
_cell_length_a 4.354
_cell_length_b 4.354
_cell_length_c 9.596
_cell_angle_alpha 90.00
_cell_angle_beta 90.00
_cell_angle_gamma 90.00
loop_
_atom_site_label
_atom_site_fract_x
_atom_site_fract_y
_atom_site_fract_z
Sc1 0.000 0.000 0.000
Hg1 0.000 0.000 0.500
Hg2 0.000 0.500 0.250
Pb1 0.000 0.500 0.750



[5]
# ScHg2Pb | the Alexandria database | GGA-PBEsol | optimized geometry
# Energy relative to the elements = -0.28 eV per atom
# Total DFT energy (no corrections) = -3.21 eV/atom
data_ScHg2Pb
_space_group_name_H-M_alt 'I 4/m m m'
_space_group_IT_number 139
_space_group_name_Hall '-I 4 2'
_cell_length_a 4.362
_cell_length_b 4.362
_cell_length_c 9.415
_cell_angle_alpha 90.00
_cell_angle_beta 90.00
_cell_angle_gamma 90.00
loop_
_atom_site_label
_atom_site_fract_x
_atom_site_fract_y
_atom_site_fract_z
Sc1 0.000 0.000 0.000
Hg1 0.000 0.500 0.250
Pb1 0.000 0.000 0.500



[6]
# ScHg2Pb | the Alexandria database | GGA-PBEsol | optimized geometry
# Energy relative to the elements = -0.20 eV per atom
# Total DFT energy (no corrections) = -3.13 eV/atom
data_ScHg2Pb
_space_group_name_H-M_alt 'P 1 2/m 1'
_space_group_IT_number 10
_space_group_name_Hall '-P 2y'
_cell_length_a 3.523
_cell_length_b 5.266
_cell_length_c 5.109
_cell_angle_alpha 90.00
_cell_angle_beta 91.57
_cell_angle_gamma 90.00
loop_
_atom_site_label
_atom_site_fract_x
_atom_site_fract_y
_atom_site_fract_z
Sc1 0.000 0.000 0.000
Hg1 0.237 0.500 0.760
Pb1 0.500 0.000 0.500



[7]
# HgPb2Se | the Alexandria database | GGA-PBEsol | optimized geometry
# Total DFT energy (no corrections) = -3.24 eV/atom
# Energy relative to the elements, uncorrected = -13 kJ/mol of atoms
data_HgPb2Se
_space_group_name_H-M_alt 'P 4/m m m'
_space_group_IT_number 123
_space_group_name_Hall '-P 4 2'
_cell_length_a 5.222
_cell_length_b 5.222
_cell_length_c 3.775
_cell_angle_alpha 90.00
_cell_angle_beta 90.00
_cell_angle_gamma 90.00
loop_
_atom_site_label
_atom_site_fract_x
_atom_site_fract_y
_atom_site_fract_z
Hg1 0.000 0.000 0.000
Pb1 0.000 0.500 0.500
Se1 0.500 0.500 0.000



[8]
# HgPbSe | the Alexandria database | GGA-PBEsol | optimized geometry
# Total DFT energy (no corrections) = -2.88 eV/atom
# Energy relative to the elements, uncorrected = -7 kJ/mol of atoms
data_HgPbSe
_space_group_name_H-M_alt 'F -4 3 m'
_space_group_IT_number 216
_space_group_name_Hall 'F -4 2 3'
_cell_length_a 7.083
_cell_length_b 7.083
_cell_length_c 7.083
_cell_angle_alpha 90.00
_cell_angle_beta 90.00
_cell_angle_gamma 90.00
loop_
_atom_site_label
_atom_site_fract_x
_atom_site_fract_y
_atom_site_fract_z
Hg1 0.000 0.000 0.000
Pb1 0.000 0.000 0.500
Se1 0.250 0.250 0.750



Number 1: Fermi-level density of states 6.3 states/eV/cell. Number 2: Fermi-level density of states 3.1 states/eV/cell. Number 3: Fermi-level density of states 1.5 states/eV/cell. Number 4: Fermi-level density of states 6.6 states/eV/cell. Number 5: Fermi-level density of states 3.9 states/eV/cell. Number 6: Fermi-level density of states 2.5 states/eV/cell. Number 7: Fermi-level density of states 1.9 states/eV/cell. Number 8: Fermi-level density of states 0.6 states/eV/cell.